First-principles (GGA-PBE) data for Y4AgIr after structural relaxation, as listed in the Alexandria database.

Computed properties:
* theoretical density: 6.40 g cm⁻³
* excess energy over the best structure of this formula in the dataset: 163 meV/atom
* formation enthalpy at 0 K: -0.3212 eV/atom
* total DFT energy (no corrections): -39.50 eV/f.u.

Cell lengths 6.9379, 6.9378, 7.0651 Å; angles 90.00, 90.07, 90.00 degrees
Closest atoms and distances in Å follow each position.
Space group C2/m (No. 12)
Asymmetric unit:
Y (0.2497, 0.2499, 0.2325) (multiplicity 8)  2 Ir 2.95, 2 Ag 3.10, 1 Y 3.29
Ag (0.0000, 0.0000, 0.5000) (multiplicity 2)  8 Y 3.10
Ir (0.0000, 0.5000, 0.0000) (multiplicity 2)  8 Y 2.95